(1)
! LaRh2Br (GGA-PBE, relaxed); values from VASP
! space-group type	I-42d (122)
! DFT total energy	-5.591	eV per atom
! calculated volume	172.8	Å³ per cell
! formation energy (no corrections)	-0.265	eV per atom
&SYSTEM
  ibrav = 0, nat = 8, ntyp = 3
/
ATOMIC_SPECIES
La 138.91 La.upf
Rh 102.91 Rh.upf
Br 79.90 Br.upf
CELL_PARAMETERS angstrom
-2.122 2.122 9.593
2.122 -2.122 9.593
2.122 2.122 -9.593
ATOMIC_POSITIONS angstrom
La 0.000 0.000 0.000
La 0.000 2.122 4.797
Rh 3.183 0.904 -2.398
Rh 0.904 1.061 2.398
Rh -1.061 1.218 7.195
Rh 1.218 1.061 11.992
Br 2.122 0.000 4.797
Br 0.000 0.000 9.593

---

(2)
! SiHS (GGA-PBE, relaxed); values from VASP
! space-group type	Pnma (62)
! DFT total energy	-4.307	eV per atom
! calculated volume	190.6	Å³ per cell
&SYSTEM
  ibrav = 0, nat = 12, ntyp = 3
/
ATOMIC_SPECIES
Si 28.09 Si.upf
H 1.01 H.upf
S 32.06 S.upf
CELL_PARAMETERS angstrom
5.379 0.000 0.000
0.000 3.361 0.000
0.000 0.000 10.544
ATOMIC_POSITIONS angstrom
Si 1.098 0.840 1.618
Si 1.592 2.521 6.890
Si 3.787 0.840 3.654
Si 4.281 2.521 8.926
H 0.765 2.521 1.163
H 1.925 0.840 6.434
H 3.454 2.521 4.109
H 4.614 0.840 9.381
S 0.586 0.840 3.720
S 2.104 2.521 8.992
S 3.275 0.840 1.552
S 4.793 2.521 6.823

---

(3)
! GaAuI2 (GGA-PBE, relaxed); values from VASP
! space-group type	Fm-3m (225)
! DFT total energy	-2.211	eV per atom
! calculated volume	113.9	Å³ per cell
! formation energy (no corrections)	0.140	eV per atom
&SYSTEM
  ibrav = 0, nat = 4, ntyp = 3
/
ATOMIC_SPECIES
Ga 69.72 Ga.upf
Au 196.97 Au.upf
I 126.90 I.upf
CELL_PARAMETERS angstrom
0.000 3.847 3.847
3.847 0.000 3.847
3.847 3.847 0.000
ATOMIC_POSITIONS angstrom
Ga 0.000 0.000 0.000
Au 3.847 3.847 3.847
I 1.924 1.924 1.924
I 5.771 5.771 5.771

---

(4)
! TaTl2Ru (GGA-PBE, relaxed); values from VASP
! space-group type	Cmmm (65)
! DFT total energy	-5.692	eV per atom
! calculated volume	78.5	Å³ per cell
! energy of formation from the pure elements	0.77	eV per atom
&SYSTEM
  ibrav = 0, nat = 4, ntyp = 3
/
ATOMIC_SPECIES
Ta 180.95 Ta.upf
Tl 204.38 Tl.upf
Ru 101.07 Ru.upf
CELL_PARAMETERS angstrom
2.913 -4.310 0.000
2.913 4.310 0.000
0.000 0.000 3.128
ATOMIC_POSITIONS angstrom
Ta 0.000 0.000 0.000
Tl 1.457 2.155 1.564
Tl 1.457 -2.155 1.564
Ru 2.913 0.000 0.000

---

(5)
! TbTm2Cu2 (GGA-PBE, relaxed); values from VASP
! space-group type	P2_1/m (11)
! DFT total energy	-4.476	eV per atom
! calculated volume	238.0	Å³ per cell
! energy of formation from the pure elements	-0.12	eV per atom
&SYSTEM
  ibrav = 0, nat = 10, ntyp = 3
/
ATOMIC_SPECIES
Tb 158.93 Tb.upf
Tm 168.93 Tm.upf
Cu 63.55 Cu.upf
CELL_PARAMETERS angstrom
4.973 0.000 0.000
0.000 4.545 0.000
-1.237 0.000 10.529
ATOMIC_POSITIONS angstrom
Tb 0.642 1.136 2.521
Tb 3.095 3.409 8.008
Tm 0.626 3.409 5.228
Tm 0.619 1.136 9.347
Tm 3.117 3.409 1.182
Tm 3.111 1.136 5.301
Cu 0.614 3.409 0.107
Cu 0.634 1.136 6.700
Cu 3.103 3.409 3.829
Cu 3.123 1.136 10.422